[1]
Density functional theory data (GGA-PBE) for RbW3S after structural relaxation.

Cell and atoms, written as extended XYZ:
```
5
Lattice="4.634 0.000 0.000 0.000 4.634 0.000 0.000 0.000 4.634" Properties=species:S:1:pos:R:3 pbc="T T T"
Rb 0.000 0.000 0.000
W 0.000 2.317 2.317
W 2.317 0.000 2.317
W 2.317 2.317 0.000
S 2.317 2.317 2.317
```

SG: Pm-3m, No. 221
Distance to the lowest polymorph of the same formula (meV/atom): 0.0

[2]
Density functional theory data (GGA-PBE) for Rb2WS4 after structural relaxation.

Cell and atoms, written as extended XYZ:
```
7
Lattice="-2.400 2.400 8.336 2.400 -2.400 8.336 2.400 2.400 -8.336" Properties=species:S:1:pos:R:3 pbc="T T T"
Rb 0.000 0.000 2.503
Rb 0.000 0.000 14.168
W 0.000 0.000 8.336
S 2.400 0.000 0.000
S 0.000 0.000 5.964
S 0.000 2.400 0.000
S 0.000 0.000 10.707
```

SG: I4/mmm, No. 139
Distance to the lowest polymorph of the same formula (meV/atom): 321.6

[3]
Density functional theory data (GGA-PBE) for Rb3WS after structural relaxation.

Cell and atoms, written as extended XYZ:
```
5
Lattice="6.394 0.000 0.000 0.000 6.394 0.000 0.000 0.000 6.394" Properties=species:S:1:pos:R:3 pbc="T T T"
Rb 0.000 0.000 3.197
Rb 0.000 3.197 0.000
Rb 3.197 0.000 0.000
W 3.197 3.197 3.197
S 0.000 0.000 0.000
```

SG: Pm-3m, No. 221
Distance to the lowest polymorph of the same formula (meV/atom): 0.0

[4]
Density functional theory data (GGA-PBE) for Rb3WS4 after structural relaxation.

Cell and atoms, written as extended XYZ:
```
16
Lattice="12.844 0.000 0.000 0.000 6.624 0.000 0.000 0.000 6.573" Properties=species:S:1:pos:R:3 pbc="T T T"
Rb 0.000 1.247 0.000
Rb 3.210 1.754 3.616
Rb 3.213 4.870 0.329
Rb 6.422 5.377 3.286
Rb 9.635 1.754 3.616
Rb 9.632 4.870 0.329
W 0.000 4.294 2.898
W 6.422 2.331 6.184
S 0.000 2.076 3.268
S 0.000 4.545 0.662
S 1.971 5.118 3.670
S 4.451 1.506 0.383
S 6.422 2.079 3.948
S 6.422 4.549 6.555
S 8.393 1.506 0.383
S 10.873 5.118 3.670
```

SG: Pmn2_1, No. 31
Distance to the lowest polymorph of the same formula (meV/atom): 0.0

[5]
Density functional theory data (GGA-PBE) for RbYS2 after structural relaxation.

Cell and atoms, written as extended XYZ:
```
4
Lattice="2.257 1.303 8.514 -2.257 1.303 8.514 0.000 -2.607 8.514" Properties=species:S:1:pos:R:3 pbc="T T T"
Rb 0.000 0.000 0.000
Y 0.000 0.000 12.639
S 0.000 0.000 10.216
S 0.000 0.000 22.046
```

SG: R3m, No. 160

[6]
Density functional theory data (GGA-PBE) for RbYS2 after structural relaxation.

Cell and atoms, written as extended XYZ:
```
4
Lattice="4.058 0.000 0.000 -2.029 3.514 0.000 0.000 0.000 7.890" Properties=species:S:1:pos:R:3 pbc="T T T"
Rb 0.000 0.000 0.000
Y 0.000 0.000 3.945
S 0.000 2.343 2.441
S 2.029 1.171 5.448
```

SG: P-3m1, No. 164

[7]
Density functional theory data (GGA-PBE) for RbY3S after structural relaxation.

Cell and atoms, written as extended XYZ:
```
5
Lattice="5.504 0.000 0.000 0.000 5.504 0.000 0.000 0.000 5.504" Properties=species:S:1:pos:R:3 pbc="T T T"
Rb 0.000 0.000 0.000
Y 0.000 2.752 2.752
Y 2.752 0.000 2.752
Y 2.752 2.752 0.000
S 2.752 2.752 2.752
```

SG: Pm-3m, No. 221
Distance to the lowest polymorph of the same formula (meV/atom): 0.0

[8]
Density functional theory data (GGA-PBE) for RbYS2 after structural relaxation.

Cell and atoms, written as extended XYZ:
```
8
Lattice="0.000 5.825 4.779 4.724 0.000 4.779 4.724 5.825 0.000" Properties=species:S:1:pos:R:3 pbc="T T T"
Rb 0.000 0.000 0.000
Rb 2.362 2.912 2.390
Y 4.724 5.825 4.400
Y 7.087 8.737 6.790
S 6.751 5.413 2.819
S 4.389 3.324 5.208
S 2.698 6.237 2.819
S 5.060 8.326 5.208
```

SG: Fdd2, No. 43

[9]
Density functional theory data (GGA-PBE) for RbYS2 after structural relaxation.

Cell and atoms, written as extended XYZ:
```
16
Lattice="7.818 0.000 0.000 0.000 5.490 0.000 0.000 0.000 11.895" Properties=species:S:1:pos:R:3 pbc="T T T"
Rb 0.631 1.372 1.497
Rb 3.278 4.117 7.445
Rb 4.540 1.372 4.450
Rb 7.187 4.117 10.398
Y 0.344 4.117 4.465
Y 3.565 1.372 10.413
Y 4.253 4.117 1.482
Y 7.475 1.372 7.430
S 0.146 1.372 4.797
S 1.059 1.372 9.695
S 2.851 4.117 3.747
S 3.763 4.117 10.745
S 4.055 1.372 1.151
S 4.968 1.372 8.148
S 6.760 4.117 2.201
S 7.672 4.117 7.098
```

SG: Pnma, No. 62

[10]
Density functional theory data (GGA-PBE) for RbYS2 after structural relaxation.

Cell and atoms, written as extended XYZ:
```
8
Lattice="4.030 0.000 0.000 0.000 5.914 0.000 -0.023 0.000 9.353" Properties=species:S:1:pos:R:3 pbc="T T T"
Rb 0.984 1.479 3.709
Rb 3.024 4.436 5.644
Y 0.983 1.479 8.301
Y 3.024 4.436 1.052
S 0.987 4.436 8.477
S 1.011 4.436 2.832
S 2.996 1.479 6.521
S 3.020 1.479 0.876
```

SG: P2_1/m, No. 11

[11]
Density functional theory data (GGA-PBE) for RbYS2 after structural relaxation.

Cell and atoms, written as extended XYZ:
```
16
Lattice="7.673 0.000 0.000 0.000 4.626 0.000 0.000 0.000 13.707" Properties=species:S:1:pos:R:3 pbc="T T T"
Rb 0.674 1.156 1.809
Rb 3.162 3.469 8.662
Rb 4.511 1.156 5.045
Rb 6.999 3.469 11.898
Y 0.562 3.469 5.244
Y 3.275 1.156 12.098
Y 4.398 3.469 1.609
Y 7.111 1.156 8.463
S 1.241 1.156 10.338
S 1.346 1.156 6.402
S 2.491 3.469 13.255
S 2.595 3.469 3.485
S 5.078 1.156 10.222
S 5.182 1.156 0.452
S 6.328 3.469 7.305
S 6.432 3.469 3.368
```

SG: Pnma, No. 62

[12]
Density functional theory data (GGA-PBE) for Rb3YS after structural relaxation.

Cell and atoms, written as extended XYZ:
```
5
Lattice="6.490 0.000 0.000 0.000 6.490 0.000 0.000 0.000 6.490" Properties=species:S:1:pos:R:3 pbc="T T T"
Rb 0.000 0.000 3.245
Rb 0.000 3.245 0.000
Rb 3.245 0.000 0.000
Y 3.245 3.245 3.245
S 0.000 0.000 0.000
```

SG: Pm-3m, No. 221
Distance to the lowest polymorph of the same formula (meV/atom): 0.0

One value per record, in order, for mass density: 11.2; 4.2; 3.0; 3.4; 2.6; 3.5; 3.8; 3.0; 3.1; 3.6; 3.3; 2.3 g/cm³.
One value per record, in order, for E_form (uncorrected): 166.56; -65.83; 71.48; -90.06; -142.77; -175.61; -23.19; -161.72; -166.51; -172.10; -168.99; 5.70 kJ per mole of atoms.
One value per record, in order, for raw total energy: -7.06; -5.17; -3.26; -4.98; -5.40; -5.74; -5.14; -5.60; -5.65; -5.71; -5.67; -2.64 eV/atom.